Run i
Ag2PbC | PBE | optimized geometry

Summary:
The value obtained for the total magnetic moment is 0.0000 μB per atom.

abc: 7.366 7.366 7.366
angles: 137.93 137.93 61.01
Sites, in units of the cell vectors:
Ag 0.375 0.210 0.335
Ag 0.790 0.125 0.165
Ag 0.875 0.040 0.665
Ag 0.960 0.625 0.835
Pb 0.250 0.750 0.500
Pb 0.500 0.500 0.000
C 0.000 0.000 0.000
C 0.750 0.250 0.500

=====

Run ii
Ag2PbC | PBE | optimized geometry

Summary:
The value obtained for the total magnetic moment is 0.0001 μB per atom.

abc: 4.715 4.715 4.715
angles: 60.00 60.00 60.00
Sites, in units of the cell vectors:
Ag 0.250 0.250 0.250
Ag 0.750 0.750 0.750
Pb 0.000 0.000 0.000
C 0.500 0.500 0.500

=====

Most stable structure, least stable structure: run i, run ii.

=====

Run i
Ag3PbC | PBE | optimized geometry

Summary:
The value obtained for the total magnetic moment is 0.2975 μB per atom.

abc: 5.404 5.404 5.404
angles: 90.00 90.00 90.00
Sites, in units of the cell vectors:
Ag 0.000 0.000 0.500
Ag 0.000 0.500 0.000
Ag 0.500 0.000 0.000
Pb 0.000 0.000 0.000
C 0.500 0.500 0.500

=====

Run ii
Ag3PbC | PBE | optimized geometry

Summary:
The value obtained for the total magnetic moment is 0.0000 μB per atom.

abc: 4.525 4.525 4.525
angles: 90.00 90.00 90.00
Sites, in units of the cell vectors:
Ag 0.000 0.000 0.500
Ag 0.000 0.500 0.000
Ag 0.500 0.000 0.000
Pb 0.500 0.500 0.500
C 0.000 0.000 0.000

=====

Most stable structure, least stable structure: run ii, run i.

=====

Run i
Sc2AgPbC | PBE | optimized geometry

Summary:
The value obtained for the total magnetic moment is 0.2019 μB per atom.

abc: 5.641 5.641 5.238
angles: 90.00 90.00 90.00
Sites, in units of the cell vectors:
Sc 0.000 0.500 0.000
Sc 0.500 0.000 0.000
Ag 0.000 0.000 0.500
Pb 0.000 0.000 0.000
C 0.500 0.500 0.500

=====

Run ii
Sc2AgPbC | PBE | optimized geometry

Summary:
The value obtained for the total magnetic moment is 0.0000 μB per atom.

abc: 4.540 4.540 4.538
angles: 90.00 90.00 90.00
Sites, in units of the cell vectors:
Sc 0.000 0.500 0.000
Sc 0.500 0.000 0.000
Ag 0.000 0.000 0.500
Pb 0.500 0.500 0.500
C 0.000 0.000 0.000

=====

Most stable structure, least stable structure: run ii, run i.

=====

Run i
AgPd3C | PBE | optimized geometry

Summary:
The value obtained for the total magnetic moment is 0.0000 μB per atom.

abc: 4.169 4.169 4.169
angles: 90.00 90.00 90.00
Sites, in units of the cell vectors:
Ag 0.000 0.000 0.000
Pd 0.000 0.500 0.500
Pd 0.500 0.000 0.500
Pd 0.500 0.500 0.000
C 0.500 0.500 0.500

=====

Run ii
AgPd3C | PBE | optimized geometry

Summary:
The value obtained for the total magnetic moment is 0.2571 μB per atom.

abc: 4.951 4.951 4.951
angles: 90.00 90.00 90.00
Sites, in units of the cell vectors:
Ag 0.000 0.000 0.000
Pd 0.000 0.000 0.500
Pd 0.000 0.500 0.000
Pd 0.500 0.000 0.000
C 0.500 0.500 0.500

=====

Most stable structure, least stable structure: run i, run ii.

=====

Run i
Ag3PdC | PBE | optimized geometry

Summary:
The value obtained for the total magnetic moment is 0.4023 μB per atom.

abc: 5.108 5.108 5.108
angles: 90.00 90.00 90.00
Sites, in units of the cell vectors:
Ag 0.000 0.000 0.500
Ag 0.000 0.500 0.000
Ag 0.500 0.000 0.000
Pd 0.000 0.000 0.000
C 0.500 0.500 0.500

=====

Run ii
Ag3PdC | PBE | optimized geometry

Summary:
The value obtained for the total magnetic moment is 0.0000 μB per atom.

abc: 4.282 4.282 4.282
angles: 90.00 90.00 90.00
Sites, in units of the cell vectors:
Ag 0.000 0.000 0.500
Ag 0.000 0.500 0.000
Ag 0.500 0.000 0.000
Pd 0.500 0.500 0.500
C 0.000 0.000 0.000

=====

Most stable structure, least stable structure: run ii, run i.

=====

Run i
Pm2AgC | PBE | optimized geometry

Summary:
The value obtained for the total magnetic moment is 0.0000 μB per atom.

abc: 8.026 8.026 8.026
angles: 26.79 26.79 26.79
Sites, in units of the cell vectors:
Pm 0.227 0.227 0.227
Pm 0.773 0.773 0.773
Ag 0.000 0.000 0.000
C 0.500 0.500 0.500

=====

Run ii
Pm2AgC | PBE | optimized geometry

Summary:
The value obtained for the total magnetic moment is 0.0000 μB per atom.

abc: 7.937 7.937 7.937
angles: 27.20 27.20 27.20
Sites, in units of the cell vectors:
Pm 0.000 0.000 0.000
Pm 0.211 0.211 0.211
Ag 0.772 0.772 0.772
C 0.606 0.606 0.606

=====

Run iii
Pm2AgC | PBE | optimized geometry

Summary:
The value obtained for the total magnetic moment is 0.0000 μB per atom.

abc: 3.336 3.336 7.328
angles: 90.00 90.00 90.00
Sites, in units of the cell vectors:
Pm 0.000 0.000 0.194
Pm 0.000 0.000 0.806
Ag 0.500 0.500 0.500
C 0.500 0.500 0.000

=====

Most stable structure, least stable structure: run ii, run iii.

=====

Run i
AgPtC2 | PBE | optimized geometry

Summary:
The value obtained for the total magnetic moment is 0.0000 μB per atom.

abc: 5.784 5.784 5.784
angles: 128.34 128.34 76.08
Sites, in units of the cell vectors:
Ag 0.000 0.000 0.000
Ag 0.750 0.250 0.500
Pt 0.250 0.750 0.500
Pt 0.500 0.500 0.000
C 0.174 0.625 0.049
C 0.375 0.424 0.549
C 0.576 0.125 0.951
C 0.875 0.826 0.451

=====

Run ii
AgPtC2 | PBE | optimized geometry

Summary:
The value obtained for the total magnetic moment is 0.0000 μB per atom.

abc: 4.031 4.031 4.031
angles: 60.00 60.00 60.00
Sites, in units of the cell vectors:
Ag 0.000 0.000 0.000
Pt 0.500 0.500 0.500
C 0.250 0.250 0.250
C 0.750 0.750 0.750

=====

Most stable structure, least stable structure: run i, run ii.

=====

Run i
Ag3PtC | PBE | optimized geometry

Summary:
The value obtained for the total magnetic moment is 0.4394 μB per atom.

abc: 5.151 5.151 5.151
angles: 90.00 90.00 90.00
Sites, in units of the cell vectors:
Ag 0.000 0.000 0.500
Ag 0.000 0.500 0.000
Ag 0.500 0.000 0.000
Pt 0.000 0.000 0.000
C 0.500 0.500 0.500

=====

Run ii
Ag3PtC | PBE | optimized geometry

Summary:
The value obtained for the total magnetic moment is 0.0000 μB per atom.

abc: 4.269 4.269 4.269
angles: 90.00 90.00 90.00
Sites, in units of the cell vectors:
Ag 0.000 0.000 0.500
Ag 0.000 0.500 0.000
Ag 0.500 0.000 0.000
Pt 0.500 0.500 0.500
C 0.000 0.000 0.000

=====

Most stable structure, least stable structure: run ii, run i.